No. 1
First-principles (GGA-PBE) data for crystalline Tb2PrDy2Y4 at its relaxed geometry, as listed in the Alexandria database.

Properties
- DFT formation energy: -1 meV/atom
- VASP energy: -98.2 eV per cell

abc: 18.739 3.611 9.592
angles: 90.00 115.72 90.00
Space group C2/m (No. 12)
Asymmetric unit:
Tb: 0.148 0.000 0.167 [4 per cell]
Pr: 0.000 0.000 0.500 [2 per cell]
Dy: 0.168 0.500 0.500 [4 per cell]
Y: 0.019 0.500 0.836 [4 per cell]
Y: 0.186 0.000 0.835 [4 per cell]

---

No. 2
First-principles (GGA-PBE) data for crystalline In12Bi3Se5 at its relaxed geometry, as listed in the Alexandria database.

Properties
- VASP energy: -513.1 eV per cell
- Formation energy without anion corrections: -0.110 eV/atom

abc: 17.793 17.793 17.793
angles: 90.00 90.00 90.00
Space group Ia-3d (No. 230)
Asymmetric unit:
In: 0.017 0.068 0.654 [96 per cell]
Bi: 0.000 0.250 0.125 [24 per cell]
Se: 0.000 0.000 0.000 [16 per cell]
Se: 0.000 0.250 0.375 [24 per cell]

---

No. 3
First-principles (GGA-PBE) data for crystalline TaMn2Mo at its relaxed geometry, as listed in the Alexandria database.

Properties
- DFT formation energy: 90 meV/atom
- ΔE to the lowest computed polymorph: 123 meV/atom
- VASP energy: -81.3 eV per cell

abc: 5.381 8.214 2.724
angles: 90.00 109.02 90.00
Space group C2/m (No. 12)
Asymmetric unit:
Ta: 0.000 0.000 0.000 [2 per cell]
Mn: 0.250 0.250 0.500 [4 per cell]
Mo: 0.000 0.500 0.000 [2 per cell]